1.
First-principles (GGA-PBE) data for a geometry-optimized Hg3Sb3Pb5 structure, as listed in Alexandria.

Structure (extended XYZ):
```
11
Lattice="-3.763 -0.420 -2.120 -2.895 -7.174 6.560 -2.137 9.738 1.865" Properties=species:S:1:pos:R:3 pbc="T T T"
Hg -3.895 -5.199 3.503
Hg -3.414 0.571 1.505
Hg -3.368 6.563 0.238
Sb -1.403 -3.477 3.179
Sb -1.036 4.720 0.904
Sb -2.593 1.321 4.342
Pb -4.524 -1.746 3.935
Pb -4.271 3.891 2.370
Pb -2.686 -2.202 0.762
Pb -5.516 1.642 5.025
Pb -2.475 2.495 -0.542
```

Formation energy (no corrections)   0.104 eV/atom
D(E_F)   3.531 states/eV/cell

2.
First-principles (GGA-PBE) data for a geometry-optimized NaTb2NpS4 structure, as listed in Alexandria.

Structure (extended XYZ):
```
8
Lattice="-2.863 -1.354 -2.340 4.450 -4.300 -2.958 0.030 -5.955 3.409" Properties=species:S:1:pos:R:3 pbc="T T T"
Na 0.793 -2.827 -2.649
Tb 0.030 -5.955 3.409
Tb -1.417 -3.654 0.535
Np 2.240 -5.128 0.226
S 3.389 -7.695 0.306
S -1.772 -3.914 -2.195
S 1.918 -5.404 -2.534
S -0.301 -6.205 0.645
```

Formation energy (no corrections)   -1.727 eV/atom
D(E_F)   12.298 states/eV/cell